(1)
{
  "formula": "TaGeMo",
  "functional": "GGA-PBE",
  "state": "optimized geometry",
  "magmom_total_mub_per_fu": 0.000,
  "e_form_mev_per_atom": -78,
  "lattice": [[-0.768, -2.555, 2.028], [-0.337, -3.334, -4.315], [5.883, 1.596, 1.461]],
  "species": ["Mo", "Mo", "Ge", "Ge", "Ta", "Ta"],
  "fractional_positions": [[0.419, 0.610, 0.959], [0.392, 0.049, 0.899], [0.037, 0.420, 0.194], [0.773, 0.238, 0.664], [0.719, 0.684, 0.559], [0.091, 0.975, 0.299]]
}

***

(2)
{
  "formula": "TaGe2Mo",
  "functional": "GGA-PBE",
  "state": "optimized geometry",
  "magmom_total_mub_per_fu": 0.000,
  "e_form_mev_per_atom": 265,
  "de_polymorph_mev_per_atom": 213,
  "lattice": [[4.143, 0.000, 0.000], [0.000, 5.951, 0.525], [-2.072, -0.681, 5.563]],
  "species": ["Ge", "Ge", "Ge", "Ge", "Ta", "Ta", "Mo", "Mo"],
  "fractional_positions": [[0.120, 0.378, 0.740], [0.620, 0.878, 0.740], [0.880, 0.622, 0.260], [0.380, 0.122, 0.260], [0.250, 0.750, 0.000], [0.750, 0.250, 0.000], [0.000, 0.000, 0.500], [0.500, 0.500, 0.500]]
}

***

(3)
{
  "formula": "TaGeMo3",
  "functional": "GGA-PBE",
  "state": "optimized geometry",
  "magmom_total_mub_per_fu": 0.000,
  "e_form_mev_per_atom": 1215,
  "de_polymorph_mev_per_atom": 0,
  "lattice": [[-4.158, 0.574, -1.796], [1.594, -1.253, -4.091], [-1.008, -4.353, 0.940]],
  "species": ["Ta", "Mo", "Mo", "Mo", "Ge"],
  "fractional_positions": [[0.500, 0.500, 0.500], [0.000, 0.500, 0.000], [0.500, 0.000, 0.000], [0.000, 0.000, 0.500], [0.000, 0.000, 0.000]]
}

***

(4)
{
  "formula": "TaGeMo",
  "functional": "GGA-PBE",
  "state": "optimized geometry",
  "magmom_total_mub_per_fu": 0.000,
  "e_form_mev_per_atom": 3,
  "lattice": [[-0.191, 1.958, 1.951], [-4.277, -1.340, 0.927], [3.523, -1.883, 2.234]],
  "species": ["Ge", "Mo", "Ta"],
  "fractional_positions": [[0.199, 0.667, 0.333], [0.208, 0.000, 0.000], [0.593, 0.333, 0.667]]
}